Density functional theory data (GGA-PBE) for an optimized crystal structure of YTcIr2.

The structure in POSCAR format:
```
YTcIr2
1.0
-0.9002 -0.2142 2.7267
-1.4985 -3.5646 -0.7747
5.3758 -2.6013 1.5705
Ir Tc Y
2 1 1
Direct
0.5000 0.5000 0.2735
0.0000 0.0000 0.0219
0.0000 0.0000 0.4397
0.5000 0.5000 0.7649
```

Summary:
Polymorph energy (0 for the lowest one): 185 meV/atom
Magnetization: 0.00 μB/atom
Density: 13.53 g/cm3
Space-group type: No. 25
ΔE_f: -0.0548 eV per atom